Rb2AlMoO4: relaxed, GGA+U.

* total magnetization: 6.00 μB/cell
* calculated volume: 359.50 Å³ per cell
* SG: Fddd
* E_tot: -93.4 eV per cell

abc: 5.569 6.811 10.752
angles: 83.92 74.99 65.87
Last column: magnetic moment on the atom in μB.
Positions (direct):
Rb 0.821 0.000 0.359  0.01
O 0.509 0.337 0.580  0.01
Rb 0.179 0.000 0.641  0.01
O 0.911 0.663 0.580  0.01
Al 0.500 0.000 0.000  0.02
O 0.324 0.837 0.080  0.01
O 0.426 0.663 0.420  0.01
O 0.839 0.837 0.920  0.01
Rb 0.929 0.500 0.141  0.01
O 0.596 0.163 0.080  0.01
Mo 0.750 0.500 0.500  2.53
Mo 0.000 0.000 0.000  2.53
Rb 0.571 0.500 0.859  0.01
O 0.154 0.337 0.420  0.01
Al 0.250 0.500 0.500  0.02
O 0.241 0.163 0.920  0.01